Record 1
Material: YTa2O
Method: DFT, PBE
State: optimized geometry

Summary:
E_form (uncorrected) ... 1.104 eV/atom
N(E_F) ... 3.78 states/eV/f.u.
Energy ... -0.2822 hartree per atom
Magnetization ... 0.000 μB per atom
Energy above the most stable polymorph in this dataset ... 1.492 eV/atom

Geometry as CIF:
```
data_YTa2O
_cell_length_a 6.565
_cell_length_b 6.565
_cell_length_c 6.565
_cell_angle_alpha 90.00
_cell_angle_beta 90.00
_cell_angle_gamma 90.00
_space_group_name_H-M_alt 'F m -3 m'
_space_group_IT_number 225
_space_group_name_Hall '-F 4 2 3'
loop_
_atom_site_label
_atom_site_type_symbol
_atom_site_fract_x
_atom_site_fract_y
_atom_site_fract_z
Y1 Y 0.000 0.000 0.000
Ta1 Ta 0.250 0.250 0.250
O1 O 0.000 0.000 0.500
```



Record 2
Material: Li3AgSn2Cl8
Method: DFT, PBE
State: optimized geometry

Summary:
E_form (uncorrected) ... -1.225 eV/atom
N(E_F) ... 0.00 states/eV/f.u.
Energy ... -0.1274 hartree per atom
Magnetization ... 0.000 μB per atom

Geometry as CIF:
```
data_Li3AgSn2Cl8
_cell_length_a 7.7166
_cell_length_b 7.7166
_cell_length_c 20.7975
_cell_angle_alpha 90.00
_cell_angle_beta 90.00
_cell_angle_gamma 120.00
_space_group_name_H-M_alt 'R 3 m'
_space_group_IT_number 160
_space_group_name_Hall 'R 3 -2"'
loop_
_atom_site_label
_atom_site_type_symbol
_atom_site_fract_x
_atom_site_fract_y
_atom_site_fract_z
Li1 Li 0.1687 0.3373 0.0000
Ag1 Ag 0.0000 0.0000 0.5207
Sn1 Sn 0.0000 0.0000 0.1746
Sn2 Sn 0.0000 0.0000 0.8048
Cl1 Cl 0.0000 0.0000 0.3976
Cl2 Cl 0.0000 0.0000 0.9515
Cl3 Cl 0.0027 0.5014 0.4048
Cl4 Cl 0.0145 0.5073 0.9200
```



Record 3
Material: Ge2BPb2
Method: DFT, PBE
State: optimized geometry

Summary:
N(E_F) ... 3.20 states/eV/f.u.
Energy relative to the elements ... 0.67 eV per atom
Energy ... -0.1470 hartree per atom
Magnetization ... 0.000 μB per atom
Energy above the most stable polymorph in this dataset ... 0.069 eV/atom

Geometry as CIF:
```
data_Ge2BPb2
_cell_length_a 5.947
_cell_length_b 5.947
_cell_length_c 7.153
_cell_angle_alpha 90.00
_cell_angle_beta 90.00
_cell_angle_gamma 90.00
_space_group_name_H-M_alt 'I 4/m m m'
_space_group_IT_number 139
_space_group_name_Hall '-I 4 2'
loop_
_atom_site_label
_atom_site_type_symbol
_atom_site_fract_x
_atom_site_fract_y
_atom_site_fract_z
Ge1 Ge 0.000 0.000 0.221
B1 B 0.000 0.000 0.500
Pb1 Pb 0.000 0.500 0.250
```



Record 4
Material: NbCuAu2
Method: DFT, PBE
State: optimized geometry

Summary:
N(E_F) ... 2.13 states/eV/f.u.
Energy relative to the elements ... 0.02 eV per atom
Energy ... -0.1895 hartree per atom
Magnetization ... 0.000 μB per atom
Energy above the most stable polymorph in this dataset ... 0.098 eV/atom

Geometry as CIF:
```
data_NbCuAu2
_cell_length_a 2.9281
_cell_length_b 2.9281
_cell_length_c 27.1539
_cell_angle_alpha 90.00
_cell_angle_beta 90.00
_cell_angle_gamma 120.00
_space_group_name_H-M_alt 'R 3 m'
_space_group_IT_number 160
_space_group_name_Hall 'R 3 -2"'
loop_
_atom_site_label
_atom_site_type_symbol
_atom_site_fract_x
_atom_site_fract_y
_atom_site_fract_z
Nb1 Nb 0.0000 0.0000 0.0000
Cu1 Cu 0.0000 0.0000 0.1668
Au1 Au 0.0000 0.0000 0.5790
Au2 Au 0.0000 0.0000 0.7544
```